{"formula": "BiTe2IBr", "functional": "PBE", "state": "relaxed", "lattice": [[5.770, 0.000, 0.000], [0.000, 5.770, 0.000], [0.000, 0.000, 5.478]], "species": ["Bi", "Te", "Te", "I", "Br"], "fractional_positions": [[0.000, 0.000, 0.000], [0.000, 0.500, 0.500], [0.500, 0.000, 0.500], [0.500, 0.500, 0.000], [0.500, 0.500, 0.500]], "raw_formation_energy_ev_per_atom": 0.66}

{"formula": "BiTeI2Br", "functional": "PBE", "state": "relaxed", "lattice": [[5.669, 0.000, 0.000], [0.000, 5.669, 0.000], [0.000, 0.000, 6.046]], "species": ["Bi", "Te", "I", "I", "Br"], "fractional_positions": [[0.000, 0.000, 0.000], [0.500, 0.500, 0.000], [0.000, 0.500, 0.500], [0.500, 0.000, 0.500], [0.500, 0.500, 0.500]], "raw_formation_energy_ev_per_atom": 0.59}

Copy entry 1 word for word.
{"formula": "BiTe2IBr", "functional": "PBE", "state": "relaxed", "lattice": [[5.770, 0.000, 0.000], [0.000, 5.770, 0.000], [0.000, 0.000, 5.478]], "species": ["Bi", "Te", "Te", "I", "Br"], "fractional_positions": [[0.000, 0.000, 0.000], [0.000, 0.500, 0.500], [0.500, 0.000, 0.500], [0.500, 0.500, 0.000], [0.500, 0.500, 0.500]], "raw_formation_energy_ev_per_atom": 0.66}

Copy entry 1 word for word.
{"formula": "BiTe2IBr", "functional": "PBE", "state": "relaxed", "lattice": [[5.770, 0.000, 0.000], [0.000, 5.770, 0.000], [0.000, 0.000, 5.478]], "species": ["Bi", "Te", "Te", "I", "Br"], "fractional_positions": [[0.000, 0.000, 0.000], [0.000, 0.500, 0.500], [0.500, 0.000, 0.500], [0.500, 0.500, 0.000], [0.500, 0.500, 0.500]], "raw_formation_energy_ev_per_atom": 0.66}